Ga2RuRh after structural relaxation, computed with PBE.

a b c (Å): 6.056 6.056 6.056
angles (deg): 90.00 90.00 90.00
Fractional positions:
Ga (0.250, 0.250, 0.250)
Ga (0.250, 0.250, 0.750)
Ga (0.250, 0.750, 0.250)
Ga (0.250, 0.750, 0.750)
Ga (0.750, 0.250, 0.250)
Ga (0.750, 0.250, 0.750)
Ga (0.750, 0.750, 0.250)
Ga (0.750, 0.750, 0.750)
Ru (0.000, 0.000, 0.000)
Ru (0.000, 0.500, 0.500)
Ru (0.500, 0.000, 0.500)
Ru (0.500, 0.500, 0.000)
Rh (0.000, 0.000, 0.500)
Rh (0.000, 0.500, 0.000)
Rh (0.500, 0.000, 0.000)
Rh (0.500, 0.500, 0.500)

Output
Crystal system: cubic
Mass density (Mg/m³): 10.27
Final energy (eV per atom): -6.20

***

GaSbRuRh after structural relaxation, computed with PBE.

a b c (Å): 6.340 6.340 6.340
angles (deg): 90.00 90.00 90.00
Fractional positions:
Ga (0.000, 0.000, 0.000)
Ga (0.000, 0.500, 0.500)
Ga (0.500, 0.000, 0.500)
Ga (0.500, 0.500, 0.000)
Sb (0.000, 0.000, 0.500)
Sb (0.000, 0.500, 0.000)
Sb (0.500, 0.000, 0.000)
Sb (0.500, 0.500, 0.500)
Ru (0.250, 0.250, 0.750)
Ru (0.250, 0.750, 0.250)
Ru (0.750, 0.250, 0.250)
Ru (0.750, 0.750, 0.750)
Rh (0.250, 0.250, 0.250)
Rh (0.250, 0.750, 0.750)
Rh (0.750, 0.250, 0.750)
Rh (0.750, 0.750, 0.250)

Output
Crystal system: cubic
Mass density (Mg/m³): 10.31
Raw formation energy (eV per atom): -0.23

***

ScGa4Ru2Rh after structural relaxation, computed with PBE.

a b c (Å): 7.722 7.722 7.722
angles (deg): 32.65 32.65 32.65
Fractional positions:
Sc (0.000, 0.000, 0.000)
Ga (0.131, 0.131, 0.131)
Ga (0.383, 0.383, 0.383)
Ga (0.617, 0.617, 0.617)
Ga (0.869, 0.869, 0.869)
Ru (0.251, 0.251, 0.251)
Ru (0.749, 0.749, 0.749)
Rh (0.500, 0.500, 0.500)

Output
Crystal system: trigonal
Mass density (Mg/m³): 8.76
Final energy (eV per atom): -6.05

***

Sc4GaRu2Rh after structural relaxation, computed with PBE.

a b c (Å): 7.987 7.987 7.987
angles (deg): 33.33 33.33 33.33
Fractional positions:
Sc (0.122, 0.122, 0.122)
Sc (0.373, 0.373, 0.373)
Sc (0.627, 0.627, 0.627)
Sc (0.878, 0.878, 0.878)
Ga (0.500, 0.500, 0.500)
Ru (0.248, 0.248, 0.248)
Ru (0.752, 0.752, 0.752)
Rh (0.000, 0.000, 0.000)

Output
Crystal system: trigonal
Mass density (Mg/m³): 6.73
Final energy (eV per atom): -7.50

***

> Look up the mass density of the second one.

10.31 Mg/m³

***

> Which of these has the highest mass density?

GaSbRuRh

***

> Among the records above, which one has the highest mass density?

GaSbRuRh

***

> The lowest mass density belongs to which entry?

Sc4GaRu2Rh